! Cs2Te3H2 | Alexandria | GGA-PBE | relaxed; values from VASP
! * crystal system: monoclinic
! * calculated total energy: -20.388 eV/f.u.
! * calculated volume: 39.8 Å³/atom
! * magnetization: 0.00 μB/f.u.
&SYSTEM
  ibrav = 0, nat = 7, ntyp = 3
/
ATOMIC_SPECIES
Te 127.60 Te.upf
Cs 132.91 Cs.upf
H 1.01 H.upf
CELL_PARAMETERS angstrom
0.0971 -1.8605 5.6112
3.3972 -4.1276 -1.4274
6.7270 4.9852 1.5947
ATOMIC_POSITIONS angstrom
Te 0.0000 0.0000 0.0000
Te 2.9659 1.7673 1.9483
Te 3.8582 1.3574 5.2576
Cs 6.8368 1.1715 2.1597
Cs 3.3845 -2.1745 3.6189
H 5.3390 2.2553 6.1856
H 1.4850 0.8694 1.0203


! CsTe2H2 | Alexandria | GGA-PBE | relaxed; values from VASP
! * crystal system: monoclinic
! * calculated total energy: -14.711 eV/f.u.
! * calculated volume: 31.7 Å³/atom
! * magnetization: 0.00 μB/f.u.
&SYSTEM
  ibrav = 0, nat = 10, ntyp = 3
/
ATOMIC_SPECIES
H 1.01 H.upf
Te 127.60 Te.upf
Cs 132.91 Cs.upf
CELL_PARAMETERS angstrom
-0.4171 4.1224 1.4095
-6.8207 -3.1914 0.5205
8.8834 -1.8855 8.1434
ATOMIC_POSITIONS angstrom
H 3.6806 -1.7148 4.7809
H -0.8423 0.0309 0.9838
H -2.0350 0.7603 5.2925
H 2.4880 -0.9855 9.0896
Te -1.6193 -1.6567 3.9491
Te 2.7968 -2.3465 8.1073
Te 3.2649 0.7022 6.1243
Te -1.1512 1.3920 1.9661
Cs 1.8124 3.5655 3.4162
Cs 6.6539 -1.3287 6.1368


! Cs3TeH | Alexandria | GGA-PBE | relaxed; values from VASP
! * crystal system: monoclinic
! * calculated total energy: -12.436 eV/f.u.
! * calculated volume: 43.0 Å³/atom
! * magnetization: 0.00 μB/f.u.
&SYSTEM
  ibrav = 0, nat = 10, ntyp = 3
/
ATOMIC_SPECIES
Te 127.60 Te.upf
H 1.01 H.upf
Cs 132.91 Cs.upf
CELL_PARAMETERS angstrom
-2.1619 4.8824 -2.8817
-0.2596 -4.3629 -7.1963
-7.8588 -2.4391 1.7613
ATOMIC_POSITIONS angstrom
Te -5.7636 -4.8042 -6.4394
Te -1.7009 -1.4106 -3.7178
H -2.9147 -1.1474 -8.7582
H -6.7138 -0.1858 -4.2802
Cs -8.4110 -1.9658 -6.0303
Cs -5.6356 -2.6318 -2.8461
Cs -8.9645 -0.0020 -2.2734
Cs -4.4529 -0.3740 -6.2797
Cs -1.8356 -3.5934 -7.3244
Cs -5.0160 1.6020 -2.5345


! Cs3TeH | Alexandria | GGA-PBE | relaxed; values from VASP
! * crystal system: hexagonal
! * calculated total energy: -11.287 eV/f.u.
! * calculated volume: 65.3 Å³/atom
! * magnetization: 0.00 μB/f.u.
&SYSTEM
  ibrav = 0, nat = 10, ntyp = 3
/
ATOMIC_SPECIES
Cs 132.91 Cs.upf
Te 127.60 Te.upf
H 1.01 H.upf
CELL_PARAMETERS angstrom
-2.2038 4.9552 3.1375
-3.5942 -5.0744 -0.7661
6.8524 -7.3274 16.3860
ATOMIC_POSITIONS angstrom
Cs 0.2912 -1.5516 8.9109
Cs -2.1996 1.1119 2.9546
Cs 0.7631 -5.8950 9.8464
Cs 1.7131 -1.8319 4.0965
Cs 5.1393 -5.4956 12.2895
Cs 3.2540 -8.5585 15.8028
Te 2.0085 -7.2268 12.8246
Te -0.9542 -0.2198 5.9328
H 0.0000 0.0000 0.0000
H 3.4262 -3.6637 8.1930


! Cs3TeH | Alexandria | GGA-PBE | relaxed; values from VASP
! * crystal system: orthorhombic
! * calculated total energy: -11.342 eV/f.u.
! * calculated volume: 60.2 Å³/atom
! * magnetization: 0.00 μB/f.u.
&SYSTEM
  ibrav = 0, nat = 10, ntyp = 3
/
ATOMIC_SPECIES
Te 127.60 Te.upf
Cs 132.91 Cs.upf
H 1.01 H.upf
CELL_PARAMETERS angstrom
-9.8809 1.2023 4.5501
9.1584 -5.6449 2.0097
2.5694 5.6260 4.0932
ATOMIC_POSITIONS angstrom
Te -1.4201 3.0720 6.7482
Te 3.2671 -1.8887 3.9048
Cs -3.1716 1.5308 3.2466
Cs 5.3577 1.7384 4.3266
Cs 0.0000 0.0000 0.0000
Cs 1.2847 2.8130 2.0466
Cs 5.0185 -0.3474 7.4064
Cs -3.5108 -0.5550 6.3264
H 7.8825 -3.5485 3.2890
H -6.0355 4.7319 7.3641


! CsTe2H | Alexandria | GGA-PBE | relaxed; values from VASP
! * crystal system: monoclinic
! * calculated total energy: -11.803 eV/f.u.
! * calculated volume: 46.2 Å³/atom
! * magnetization: 0.00 μB/f.u.
&SYSTEM
  ibrav = 0, nat = 16, ntyp = 3
/
ATOMIC_SPECIES
H 1.01 H.upf
Te 127.60 Te.upf
Cs 132.91 Cs.upf
CELL_PARAMETERS angstrom
7.2456 0.0000 0.0000
0.0000 5.8196 0.6052
0.0000 0.8304 17.6129
ATOMIC_POSITIONS angstrom
H 6.0311 1.8533 6.6651
H 1.2145 5.1782 15.7742
H 1.2145 4.7967 11.5529
H 6.0311 1.4717 2.4439
Te 5.4845 0.6051 5.5574
Te 0.3781 1.4019 16.3644
Te 0.3781 2.7535 10.3576
Te 6.8675 3.8965 7.8605
Te 6.8675 5.2481 1.8537
Te 1.7611 6.0449 12.6606
Te 1.7611 3.9300 14.6665
Te 5.4845 2.7199 3.5516
Cs 5.3230 4.3683 16.2868
Cs 1.9226 1.0433 7.1778
Cs 1.9226 2.2817 1.9313
Cs 5.3230 5.6066 11.0403


! CsTe2H | Alexandria | GGA-PBE | relaxed; values from VASP
! * crystal system: trigonal
! * calculated total energy: -10.122 eV/f.u.
! * calculated volume: 32.6 Å³/atom
! * magnetization: 0.00 μB/f.u.
&SYSTEM
  ibrav = 0, nat = 4, ntyp = 3
/
ATOMIC_SPECIES
H 1.01 H.upf
Te 127.60 Te.upf
Cs 132.91 Cs.upf
CELL_PARAMETERS angstrom
2.2524 0.0000 9.8795
-1.1262 1.9507 9.8795
-1.1262 -1.9507 9.8795
ATOMIC_POSITIONS angstrom
H 0.0000 0.0000 0.0000
Te 0.0000 0.0000 27.6859
Te 0.0000 0.0000 1.9526
Cs 0.0000 0.0000 14.8192


! Cs3TeH | Alexandria | GGA-PBE | relaxed; values from VASP
! * crystal system: orthorhombic
! * calculated total energy: -11.270 eV/f.u.
! * calculated volume: 82.3 Å³/atom
! * magnetization: 0.00 μB/f.u.
&SYSTEM
  ibrav = 0, nat = 5, ntyp = 3
/
ATOMIC_SPECIES
Cs 132.91 Cs.upf
H 1.01 H.upf
Te 127.60 Te.upf
CELL_PARAMETERS angstrom
-1.0287 5.4537 -0.0738
-8.7346 -1.6393 0.6110
3.6478 0.7975 8.0877
ATOMIC_POSITIONS angstrom
Cs -3.4640 2.2580 6.4369
Cs -1.4158 2.5970 2.9342
Cs 0.9131 0.2593 6.4364
H -1.7397 -0.2628 4.8346
Te 2.2432 3.3492 7.5133